Computed, not measured: crystalline Cs3Ga4Au4 at its relaxed geometry at the PBE level of DFT. Values from VASP.

Computed properties:
Offset from the most stable computed form = 0.0000 eV per atom
V = 33.2 Å³/atom
Symmetry = C2/m (12)
Energy of formation = -0.212 eV per atom

The structure in Quantum ESPRESSO input format:
```
&SYSTEM
  ibrav = 0, nat = 11, ntyp = 3
/
ATOMIC_SPECIES
Cs 132.91 Cs.upf
Ga 69.72 Ga.upf
Au 196.97 Au.upf
CELL_PARAMETERS angstrom
6.849 -3.938 0.000
6.849 3.938 0.000
-0.443 0.000 6.774
ATOMIC_POSITIONS crystal
Cs 0.000 0.000 0.000
Cs 0.356 0.356 0.941
Cs 0.644 0.644 0.059
Ga 0.011 0.668 0.409
Ga 0.332 0.989 0.591
Ga 0.668 0.011 0.409
Ga 0.989 0.332 0.591
Au 0.301 0.301 0.422
Au 0.322 0.678 0.500
Au 0.678 0.322 0.500
Au 0.699 0.699 0.578
```

Computed, not measured: crystalline Si3Hg at its relaxed geometry at the PBE level of DFT. Values from VASP.

Computed properties:
Offset from the most stable computed form = 0.0322 eV per atom
E_form (uncorrected) = 0.43 eV per atom
V = 18.9 Å³/atom
Symmetry = Pnma (62)

The structure in Quantum ESPRESSO input format:
```
&SYSTEM
  ibrav = 0, nat = 16, ntyp = 2
/
ATOMIC_SPECIES
Si 28.09 Si.upf
Hg 200.59 Hg.upf
CELL_PARAMETERS angstrom
6.769 0.000 0.000
0.000 5.846 0.000
0.000 0.000 7.631
ATOMIC_POSITIONS crystal
Si 0.133 0.250 0.117
Si 0.195 0.537 0.876
Si 0.195 0.963 0.876
Si 0.305 0.037 0.376
Si 0.305 0.463 0.376
Si 0.367 0.750 0.617
Si 0.633 0.250 0.383
Si 0.695 0.537 0.624
Si 0.695 0.963 0.624
Si 0.805 0.037 0.124
Si 0.805 0.463 0.124
Si 0.867 0.750 0.883
Hg 0.047 0.250 0.624
Hg 0.453 0.750 0.124
Hg 0.547 0.250 0.876
Hg 0.953 0.750 0.376
```

Computed, not measured: crystalline Dy2Al3Ag5 at its relaxed geometry at the PBE level of DFT. Values from VASP.

Computed properties:
Offset from the most stable computed form = 0.0203 eV per atom
V = 20.4 Å³/atom
Symmetry = Ibam (72)
Energy of formation = -0.245 eV per atom

The structure in Quantum ESPRESSO input format:
```
&SYSTEM
  ibrav = 0, nat = 20, ntyp = 3
/
ATOMIC_SPECIES
Dy 162.50 Dy.upf
Al 26.98 Al.upf
Ag 107.87 Ag.upf
CELL_PARAMETERS angstrom
-5.825 5.933 2.956
5.825 -5.933 2.956
5.825 5.933 -2.956
ATOMIC_POSITIONS crystal
Dy 0.237 0.132 0.368
Dy 0.263 0.632 0.895
Dy 0.737 0.368 0.105
Dy 0.763 0.868 0.632
Al 0.132 0.871 0.002
Al 0.250 0.750 0.500
Al 0.368 0.371 0.739
Al 0.632 0.629 0.261
Al 0.750 0.250 0.500
Al 0.868 0.129 0.998
Ag 0.155 0.393 0.549
Ag 0.250 0.250 0.000
Ag 0.250 0.509 0.259
Ag 0.250 0.991 0.741
Ag 0.345 0.893 0.238
Ag 0.655 0.107 0.762
Ag 0.750 0.009 0.259
Ag 0.750 0.491 0.741
Ag 0.750 0.750 0.000
Ag 0.845 0.607 0.451
```

Number 1: total magnetization 0.00 μB per formula unit, E_tot -30.11 eV per cell. Number 2: total magnetization 0.00 μB per formula unit, E_tot -59.33 eV per cell. Number 3: total magnetization 0.00 μB per formula unit, E_tot -74.27 eV per cell.